# DyHo2Er8 GGA-PBE relaxed
# Space group ... C2/m (12)
# Theoretical density ... 8826 kg/m³
# ΔH_f (0 K) ... 0.16 eV/atom
# Magnetization ... 0.0 μB/f.u.
# Relative energy among the computed polymorphs ... 0.00 kcal/mol of atoms
# Calculated volume ... 31.31 Å³ per atom
data_DyHo2Er8
_chemical_formula_sum 'Dy1 Ho2 Er8'
_cell_length_a 5.829
_cell_length_b 8.987
_cell_length_c 9.353
_cell_angle_alpha 61.28
_cell_angle_beta 73.30
_cell_angle_gamma 53.27
_symmetry_space_group_name_H-M 'P 1'
_symmetry_Int_Tables_number 1
loop_
_symmetry_equiv_pos_as_xyz
'x,y,z'
loop_
_atom_site_label
_atom_site_fract_x
_atom_site_fract_y
_atom_site_fract_z
Er1 0.800 0.098 0.249
Er2 0.714 0.552 0.000
Er3 0.500 0.203 0.594
Ho1 0.000 0.310 0.380
Dy1 0.500 0.000 0.000
Er4 0.200 0.653 0.249
Ho2 0.000 0.690 0.620
Er5 0.800 0.347 0.751
Er6 0.500 0.797 0.406
Er7 0.286 0.448 0.000
Er8 0.200 0.902 0.751



# Zr2Si4Ni3 GGA-PBE relaxed
# Space group ... Cmce (64)
# Theoretical density ... 6282 kg/m³
# Magnetization ... 0.0 μB/f.u.
# Calculated volume ... 13.83 Å³ per atom
data_Zr2Si4Ni3
_chemical_formula_sum 'Zr4 Si8 Ni6'
_cell_length_a 7.387
_cell_length_b 7.387
_cell_length_c 6.906
_cell_angle_alpha 90.00
_cell_angle_beta 90.00
_cell_angle_gamma 138.66
_symmetry_space_group_name_H-M 'P 1'
_symmetry_Int_Tables_number 1
loop_
_symmetry_equiv_pos_as_xyz
'x,y,z'
loop_
_atom_site_label
_atom_site_fract_x
_atom_site_fract_y
_atom_site_fract_z
Ni1 0.523 0.977 0.750
Si1 0.689 0.811 0.750
Si2 0.817 0.183 0.023
Si3 0.183 0.817 0.977
Zr1 0.104 0.896 0.599
Si4 0.311 0.189 0.250
Zr2 0.604 0.396 0.901
Ni2 0.000 0.000 0.000
Ni3 0.500 0.500 0.500
Ni4 0.977 0.523 0.250
Ni5 0.477 0.023 0.250
Zr3 0.896 0.104 0.401
Zr4 0.396 0.604 0.099
Si5 0.317 0.683 0.477
Ni6 0.023 0.477 0.750
Si6 0.683 0.317 0.523
Si7 0.189 0.311 0.750
Si8 0.811 0.689 0.250



# Pm6AlTl3 GGA-PBE relaxed
# Space group ... P2_1/m (11)
# Theoretical density ... 8526 kg/m³
# ΔH_f (0 K) ... -0.29 eV/atom
# Magnetization ... 0.0 μB/f.u.
# Calculated volume ... 29.41 Å³ per atom
data_Pm6AlTl3
_chemical_formula_sum 'Pm12 Al2 Tl6'
_cell_length_a 5.373
_cell_length_b 9.628
_cell_length_c 11.847
_cell_angle_alpha 106.29
_cell_angle_beta 90.00
_cell_angle_gamma 90.00
_symmetry_space_group_name_H-M 'P 1'
_symmetry_Int_Tables_number 1
loop_
_symmetry_equiv_pos_as_xyz
'x,y,z'
loop_
_atom_site_label
_atom_site_fract_x
_atom_site_fract_y
_atom_site_fract_z
Al1 0.750 0.046 0.392
Pm1 0.750 0.899 0.123
Pm2 0.750 0.145 0.676
Pm3 0.250 0.101 0.877
Tl1 0.250 0.380 0.783
Pm4 0.750 0.335 0.325
Tl2 0.750 0.620 0.217
Pm5 0.250 0.232 0.501
Pm6 0.750 0.874 0.841
Pm7 0.750 0.532 0.907
Tl3 0.750 0.473 0.613
Tl4 0.250 0.527 0.387
Pm8 0.750 0.768 0.499
Pm9 0.250 0.126 0.159
Pm10 0.250 0.468 0.093
Pm11 0.250 0.855 0.324
Tl5 0.250 0.772 0.971
Pm12 0.250 0.665 0.675
Al2 0.250 0.954 0.608
Tl6 0.750 0.228 0.029



# SmLuCu2 GGA-PBE relaxed
# Space group ... P4/mmm (123)
# Theoretical density ... 9035 kg/m³
# ΔH_f (0 K) ... -0.24 eV/atom
# Magnetization ... 0.0 μB/f.u.
# Relative energy among the computed polymorphs ... 0.00 kcal/mol of atoms
# Calculated volume ... 20.79 Å³ per atom
data_SmLuCu2
_chemical_formula_sum 'Sm1 Lu1 Cu2'
_cell_length_a 3.445
_cell_length_b 3.445
_cell_length_c 7.006
_cell_angle_alpha 90.00
_cell_angle_beta 90.00
_cell_angle_gamma 90.00
_symmetry_space_group_name_H-M 'P 1'
_symmetry_Int_Tables_number 1
loop_
_symmetry_equiv_pos_as_xyz
'x,y,z'
loop_
_atom_site_label
_atom_site_fract_x
_atom_site_fract_y
_atom_site_fract_z
Lu1 0.500 0.500 0.000
Cu1 0.000 0.000 0.226
Sm1 0.500 0.500 0.500
Cu2 0.000 0.000 0.774



Computed values of raw total energy (unit: eV per atom) for the preceding records, in sequence: -4.407 -7.031 -4.223 -4.602.